w:
A geometry-optimized AcTbOs structure. Source: the Alexandria database, functional PBE.

POSCAR file:
```
AcTbOs
1.0
4.991 0.000 0.000
2.495 4.322 0.000
2.495 1.441 4.075
Os Ac Tb
1 1 1
Direct
0.250 0.250 0.250 Os
0.000 0.000 0.000 Ac
0.500 0.500 0.500 Tb
```

Values from the calculation:
V: 88 Å³/cell

---

x:
A geometry-optimized AcTbOs structure. Source: the Alexandria database, functional PBE.

POSCAR file:
```
AcTbOs
1.0
-1.434 1.832 -2.685
1.772 -2.019 -2.325
-5.526 -4.384 2.311
Tb Os Ac
1 1 1
Direct
0.047 0.047 0.095 Tb
0.659 0.659 0.317 Os
0.294 0.294 0.588 Ac
```

Values from the calculation:
V: 88 Å³/cell

---

Structures ranked by computed energy, the most stable listed first: w, x.

---

w:
A geometry-optimized AcThOs structure. Source: the Alexandria database, functional PBE.

POSCAR file:
```
AcThOs
1.0
5.072 0.000 0.000
2.536 4.393 0.000
2.536 1.464 4.141
Ac Os Th
1 1 1
Direct
0.000 0.000 0.000 Ac
0.250 0.250 0.250 Os
0.500 0.500 0.500 Th
```

Values from the calculation:
V: 92 Å³/cell

---

x:
A geometry-optimized AcThOs structure. Source: the Alexandria database, functional PBE.

POSCAR file:
```
AcThOs
1.0
3.650 0.000 0.000
0.000 3.650 0.000
-1.825 -1.825 6.784
Ac Th Os
1 1 1
Direct
0.030 0.030 0.060 Ac
0.286 0.286 0.573 Th
0.684 0.684 0.367 Os
```

Values from the calculation:
V: 90 Å³/cell

---

Structures ranked by computed energy, the most stable listed first: x, w.

---

w:
A geometry-optimized AcY2Os structure. Source: the Alexandria database, functional PBE.

POSCAR file:
```
AcY2Os
1.0
3.508 0.000 0.000
0.000 3.508 0.000
0.000 0.000 9.516
Ac Os Y
1 1 2
Direct
0.500 0.500 0.500 Ac
0.500 0.500 0.000 Os
0.000 0.000 0.171 Y
0.000 0.000 0.829 Y
```

Values from the calculation:
V: 117 Å³/cell

---

x:
A geometry-optimized AcY2Os structure. Source: the Alexandria database, functional PBE.

POSCAR file:
```
AcY2Os
1.0
-2.329 -0.414 -3.306
5.396 -3.898 -0.812
-4.443 -6.984 4.003
Y Ac Os
4 2 2
Direct
0.654 0.308 0.430 Y
0.346 0.692 0.570 Y
0.346 0.692 0.930 Y
0.654 0.308 0.070 Y
0.071 0.142 0.750 Ac
0.929 0.858 0.250 Ac
0.253 0.507 0.250 Os
0.747 0.493 0.750 Os
```

Values from the calculation:
V: 239 Å³/cell

---

Structures ranked by computed energy, the most stable listed first: x, w.

---

w:
A geometry-optimized Ac3ZnOs structure. Source: the Alexandria database, functional PBE.

POSCAR file:
```
Ac3ZnOs
1.0
4.418 0.000 1.128
1.228 10.655 4.406
0.315 1.023 7.982
Os Zn Ac
2 2 6
Direct
0.833 0.299 0.034 Os
0.167 0.701 0.966 Os
0.305 0.806 0.584 Zn
0.695 0.194 0.416 Zn
0.353 0.485 0.808 Ac
0.647 0.515 0.192 Ac
0.966 0.772 0.296 Ac
0.651 0.891 0.808 Ac
0.034 0.228 0.704 Ac
0.349 0.109 0.192 Ac
```

Values from the calculation:
V: 353 Å³/cell

---

x:
A geometry-optimized Ac3ZnOs structure. Source: the Alexandria database, functional PBE.

POSCAR file:
```
Ac3ZnOs
1.0
-2.850 0.225 5.036
-2.503 -5.085 -1.189
4.376 -2.762 2.600
Zn Ac Os
1 3 1
Direct
0.500 0.500 0.500 Zn
0.000 0.000 0.500 Ac
0.000 0.500 0.000 Ac
0.500 0.000 0.000 Ac
0.000 0.000 0.000 Os
```

Values from the calculation:
V: 194 Å³/cell

---

Structures ranked by computed energy, the most stable listed first: w, x.

---

w:
A geometry-optimized AcP3 structure. Source: the Alexandria database, functional PBE.

POSCAR file:
```
AcP3
1.0
-3.247 2.710 1.022
-2.587 -1.503 -4.233
0.866 -3.986 4.059
P Ac
3 1
Direct
0.684 0.970 0.367 P
0.500 0.542 0.000 P
0.316 0.602 0.633 P
0.000 0.052 0.000 Ac
```

Values from the calculation:
V: 105 Å³/cell

---

x:
A geometry-optimized AcP3 structure. Source: the Alexandria database, functional PBE.

POSCAR file:
```
AcP3
1.0
4.238 0.000 0.000
0.000 4.238 0.000
-2.119 -2.119 5.476
P Ac
3 1
Direct
0.500 0.500 0.000 P
0.722 0.722 0.445 P
0.278 0.278 0.555 P
0.000 0.000 0.000 Ac
```

Values from the calculation:
V: 98 Å³/cell

---

Structures ranked by computed energy, the most stable listed first: w, x.

---

w:
A geometry-optimized AcP structure. Source: the Alexandria database, functional PBE.

POSCAR file:
```
AcP
1.0
4.450 0.000 0.000
2.225 3.854 0.000
2.225 1.285 3.634
Ac P
1 1
Direct
0.500 0.500 0.500 Ac
0.000 0.000 0.000 P
```

Values from the calculation:
V: 62 Å³/cell

---

x:
A geometry-optimized AcP structure. Source: the Alexandria database, functional PBE.

POSCAR file:
```
AcP
1.0
3.768 0.000 0.000
0.000 3.768 0.000
0.000 0.000 3.768
Ac P
1 1
Direct
0.500 0.500 0.500 Ac
0.000 0.000 0.000 P
```

Values from the calculation:
V: 54 Å³/cell

---

Structures ranked by computed energy, the most stable listed first: w, x.